1.
Below is a geometry-optimized CsFeB2Pb structure, with properties calculated at the PBE-GGA level.

Geometry as POSCAR:
```
CsFeB2Pb
1.0
4.3464 0.0000 0.0000
0.0000 5.0572 0.0000
0.0000 0.0000 4.3464
Pb Cs B Fe
1 1 2 1
Cartesian
0.0000 2.5286 0.0000 Pb
2.1732 2.5286 2.1732 Cs
0.0000 0.0000 2.1732 B
2.1732 0.0000 0.0000 B
0.0000 0.0000 0.0000 Fe
```

Summary:
DOS at the Fermi energy in states/eV/cell: 2.9
E_form in eV per formula unit: 5.60
Symmetry: P4/mmm, No. 123

---

2.
Below is a geometry-optimized CsSc2FeB structure, with properties calculated at the PBE-GGA level.

Geometry as POSCAR:
```
CsSc2FeB
1.0
-4.6224 1.3511 1.1041
0.9100 -0.1983 4.0525
1.3694 4.7466 -0.0753
Cs Sc B Fe
1 2 1 1
Cartesian
-1.1715 2.9497 2.5406 Cs
0.6847 2.3733 -0.0376 Sc
-2.3112 0.6755 0.5520 Sc
0.4550 -0.0991 2.0262 B
0.0000 0.0000 0.0000 Fe
```

Summary:
DOS at the Fermi energy in states/eV/cell: 2.9
E_form in eV per formula unit: 3.20
Symmetry: P4/mmm, No. 123

---

3.
Below is a geometry-optimized CsSrFeB2 structure, with properties calculated at the PBE-GGA level.

Geometry as POSCAR:
```
CsSrFeB2
1.0
-1.3018 -4.1328 -2.6068
3.6175 -2.6286 2.3609
-3.1925 -1.2219 3.5314
Cs Sr B Fe
1 1 2 1
Cartesian
0.0000 0.0000 0.0000 Cs
-0.4384 -3.9916 1.6428 Sr
1.8088 -1.3143 1.1804 B
-0.6509 -2.0664 -1.3034 B
-1.5963 -0.6109 1.7657 Fe
```

Summary:
DOS at the Fermi energy in states/eV/cell: 6.8
E_form in eV per formula unit: 12.19
Symmetry: P4/mmm, No. 123

---

4.
Below is a geometry-optimized CsGa3B structure, with properties calculated at the PBE-GGA level.

Geometry as POSCAR:
```
CsGa3B
1.0
4.9137 0.0000 0.0000
0.0000 4.9137 0.0000
0.0000 0.0000 4.9137
Cs B Ga
1 1 3
Cartesian
2.4568 2.4568 2.4568 Cs
0.0000 0.0000 0.0000 B
0.0000 2.4568 0.0000 Ga
0.0000 0.0000 2.4568 Ga
2.4568 0.0000 0.0000 Ga
```

Summary:
DOS at the Fermi energy in states/eV/cell: 4.7
E_form in eV per formula unit: 3.38
Symmetry: Pm-3m, No. 221
ΔE to the lowest computed polymorph in meV/atom: 0

---

5.
Below is a geometry-optimized Cs2GaB structure, with properties calculated at the PBE-GGA level.

Geometry as POSCAR:
```
Cs2GaB
1.0
-6.8968 6.8968 1.9665
6.8968 -6.8968 1.9665
6.8968 6.8968 -1.9665
Cs Ga B
4 2 2
Cartesian
-0.4672 3.4484 1.4749 Cs
7.3640 3.4484 -0.4916 Cs
3.4484 0.4672 2.4581 Cs
3.4484 6.4296 0.4916 Cs
0.0000 0.0000 0.0000 Ga
6.8968 0.0000 0.9832 Ga
0.0000 0.0000 1.9665 B
0.0000 6.8968 0.9832 B
```

Summary:
DOS at the Fermi energy in states/eV/cell: 8.7
E_form in eV per formula unit: 1.57
Symmetry: I-42d, No. 122

---

6.
Below is a geometry-optimized Cs3GaB structure, with properties calculated at the PBE-GGA level.

Geometry as POSCAR:
```
Cs3GaB
1.0
-1.3235 6.3428 -2.7134
-6.8892 -1.0699 0.8594
0.3628 2.8230 6.4221
Cs B Ga
3 1 1
Cartesian
-3.4446 -0.5349 0.4297 Cs
0.1814 1.4115 3.2111 Cs
-0.6617 3.1714 -1.3567 Cs
-3.9250 4.0480 2.2841 B
0.0000 0.0000 0.0000 Ga
```

Summary:
DOS at the Fermi energy in states/eV/cell: 11.4
E_form in eV per formula unit: 5.81
Symmetry: Pm-3m, No. 221

---

7.
Below is a geometry-optimized CsGa3B structure, with properties calculated at the PBE-GGA level.

Geometry as POSCAR:
```
CsGa3B
1.0
6.1436 0.0000 0.0000
0.0000 6.1436 0.0000
0.0000 0.0000 6.1436
Cs B Ga
1 1 3
Cartesian
0.0000 0.0000 0.0000 Cs
3.0718 3.0718 3.0718 B
0.0000 3.0718 0.0000 Ga
0.0000 0.0000 3.0718 Ga
3.0718 0.0000 0.0000 Ga
```

Summary:
DOS at the Fermi energy in states/eV/cell: 4.9
E_form in eV per formula unit: 10.77
Symmetry: Pm-3m, No. 221
ΔE to the lowest computed polymorph in meV/atom: 1477

---

8.
Below is a geometry-optimized CsGaHgB2 structure, with properties calculated at the PBE-GGA level.

Geometry as POSCAR:
```
CsGaHgB2
1.0
-1.5378 -0.2550 5.1113
4.5561 -2.4989 1.2460
2.8643 5.7964 1.1510
Cs B Hg Ga
1 2 1 1
Cartesian
0.0000 0.0000 0.0000 Cs
2.2780 -1.2494 0.6230 B
-0.7689 -0.1275 2.5556 B
1.4322 2.8982 0.5755 Hg
2.9413 1.5213 3.7542 Ga
```

Summary:
DOS at the Fermi energy in states/eV/cell: 5.8
E_form in eV per formula unit: 11.83
Symmetry: P4/mmm, No. 123

---

9.
Below is a geometry-optimized Cs2KGaB structure, with properties calculated at the PBE-GGA level.

Geometry as POSCAR:
```
Cs2KGaB
1.0
-5.5556 4.6325 2.3401
-2.2009 0.2089 -5.6387
-4.3935 -6.0226 1.4918
Cs K B Ga
2 1 1 1
Cartesian
-2.1968 -3.0113 0.7459 Cs
-2.7778 2.3162 1.1700 Cs
0.0000 0.0000 0.0000 K
-6.0750 -0.5906 -0.9034 B
-1.1005 0.1044 -2.8194 Ga
```

Summary:
DOS at the Fermi energy in states/eV/cell: 4.9
E_form in eV per formula unit: 7.02
Symmetry: P4/mmm, No. 123

---

10.
Below is a geometry-optimized Cs2GaB2O6 structure, with properties calculated at the PBE-GGA level.

Geometry as POSCAR:
```
Cs2GaB2O6
1.0
5.2041 0.0000 0.0000
2.6020 4.5068 0.0000
2.6020 1.5023 7.9848
Cs Ga B O
2 1 2 6
Cartesian
7.8061 4.5068 5.3422 Cs
2.6020 1.5023 2.6426 Cs
0.0000 0.0000 0.0000 Ga
5.2040 3.0046 6.8894 B
5.2041 3.0046 1.0954 B
6.3987 3.6943 1.1808 O
4.0094 3.6943 1.1808 O
5.2041 1.6251 1.1808 O
5.2041 4.3840 6.8040 O
6.3987 2.3148 6.8040 O
4.0094 2.3148 6.8040 O
```

Summary:
DOS at the Fermi energy in states/eV/cell: 5.4
Symmetry: R-3m, No. 166
Formation energy from raw total energies in eV per atom: -1.92

---

11.
Below is a geometry-optimized Cs2Ga2B2O7 structure, with properties calculated at the PBE-GGA level.

Geometry as POSCAR:
```
Cs2Ga2B2O7
1.0
-7.4384 -0.4617 3.2446
3.0813 -5.8392 6.2330
1.5707 11.2300 5.1990
Cs Ga B O
8 8 8 28
Cartesian
0.0136 6.8849 8.6302 Cs
-3.3975 6.6866 5.8163 Cs
-6.0960 0.9528 4.0513 Cs
1.0755 1.3845 5.2250 Cs
0.6110 -1.7574 8.8603 Cs
-2.8001 -1.9558 6.0464 Cs
3.3096 3.9764 10.6253 Cs
-3.8619 3.5446 9.4516 Cs
-3.4110 -0.9773 10.1311 Ga
-2.2193 0.1637 2.8440 Ga
-2.6471 2.0459 5.7041 Ga
-0.1394 2.8832 8.9725 Ga
-0.5672 4.7655 11.8326 Ga
-4.6313 7.4890 9.5116 Ga
0.6246 5.9065 4.5455 Ga
1.8448 -2.5599 5.1650 Ga
-0.0084 -4.3181 6.6353 B
2.3683 1.3957 8.5407 B
-0.9145 4.2671 6.4718 B
-2.7780 9.2472 8.0413 B
-5.1547 3.5334 6.1359 B
-1.8719 0.6621 8.2048 B
-3.1836 6.1469 11.7190 B
0.3971 -1.2178 2.9576 B
-1.6972 0.9333 6.8538 O
-5.0872 4.0892 4.8695 O
-4.2623 2.5325 6.5122 O
1.3371 4.3419 3.8346 O
-2.6428 -0.4378 8.5315 O
-1.3002 -4.8038 6.6684 O
-1.2285 1.3708 9.2058 O
-3.8066 9.7350 7.2530 O
-3.0023 1.2779 4.0752 O
-1.0892 3.9958 7.8228 O
-4.3167 6.3370 10.9384 O
-4.1236 0.5872 10.8419 O
-4.5309 -4.4004 7.7042 O
-1.5579 3.5583 5.4708 O
-1.4862 9.7329 8.0082 O
2.3007 0.8399 9.8070 O
-2.3103 5.1491 11.3285 O
0.2159 3.6513 10.6014 O
1.5302 -1.4078 3.7381 O
1.7444 9.3296 6.9724 O
1.0202 -4.8058 7.4236 O
2.7153 -1.7599 6.5692 O
1.4758 2.3966 8.1644 O
-5.5017 6.6890 8.1074 O
-3.0014 8.1770 8.9042 O
0.2150 -3.2479 5.7723 O
-0.4762 -0.2200 3.3481 O
-0.1436 5.3670 6.1451 O
```

Summary:
DOS at the Fermi energy in states/eV/cell: 0.0
Symmetry: P2_1/c, No. 14
Formation energy from raw total energies in eV per atom: -2.15

---

12.
Below is a geometry-optimized CsScGaB2 structure, with properties calculated at the PBE-GGA level.

Geometry as POSCAR:
```
CsScGaB2
1.0
-3.3024 -2.9310 -0.5564
2.6356 -3.5046 2.8184
-1.9588 1.5042 3.7023
Cs Sc B Ga
1 1 2 1
Cartesian
-1.3128 -2.4657 2.9821 Cs
1.3178 -1.7523 1.4092 Sc
-0.9794 0.7521 1.8511 B
-1.6512 -1.4655 -0.2782 B
0.0000 0.0000 0.0000 Ga
```

Summary:
DOS at the Fermi energy in states/eV/cell: 5.5
E_form in eV per formula unit: 7.10
Symmetry: P4/mmm, No. 123

---

Computed energy, in the same sequence as the records: -0.1527; -0.1871; -0.0894; -0.0973; -0.0904; -0.0474; -0.0430; -0.0419; -0.0403; -0.2304; -0.2367; -0.1210 hartree per atom.